Entry 1:
Here is Mn2NiTeI after structural relaxation from Alexandria via LeMat-Bulk. Energies are from PBE.

The structure in POSCAR format:
```
Mn2NiTeI
1.0
-2.656 -2.493 3.722
3.545 -2.865 0.611
1.987 3.222 3.577
I Mn Ni Te
1 2 1 1
Direct
0.000 0.000 0.000
0.000 0.000 0.500
0.500 0.000 0.000
0.000 0.500 0.000
0.500 0.500 0.500
```

## Properties
The density comes out at 5.6 g/cm3. The value obtained for the uncorrected energy is -24.15 eV for the cell shown. The raw formation energy comes out at 0.933 eV per atom. The space group is P4/mmm.

---

Entry 2:
Here is NpMn2I8 after structural relaxation from Alexandria via LeMat-Bulk. Energies are from PBE.

The structure in POSCAR format:
```
NpMn2I8
1.0
7.159 0.188 0.293
0.338 8.491 2.511
0.298 0.130 8.856
I Mn Np
8 2 1
Direct
0.263 0.821 0.821
0.246 0.366 0.366
0.230 0.886 0.289
0.230 0.289 0.886
0.770 0.114 0.711
0.754 0.634 0.634
0.737 0.179 0.179
0.770 0.711 0.114
0.651 0.811 0.811
0.349 0.189 0.189
0.000 0.000 0.000
```

## Properties
The density comes out at 4.2 g/cm3. The value obtained for the uncorrected energy is -49.58 eV for the cell shown. The raw formation energy comes out at -0.536 eV per atom. The space group is C2/m.

---

Entry 3:
Here is NpMnI6 after structural relaxation from Alexandria via LeMat-Bulk. Energies are from PBE.

The structure in POSCAR format:
```
NpMnI6
1.0
7.770 -0.916 -0.913
-3.227 7.127 -0.913
0.884 1.209 7.022
Mn I Np
1 6 1
Direct
0.000 0.000 0.000
0.703 0.703 0.230
0.703 0.001 0.759
0.297 0.297 0.770
0.297 0.999 0.241
0.999 0.297 0.241
0.001 0.703 0.759
0.000 0.000 0.500
```

## Properties
The density comes out at 4.5 g/cm3. The value obtained for the uncorrected energy is -36.58 eV for the cell shown. The raw formation energy comes out at -0.646 eV per atom. Its offset from the most stable computed form is 0.000 eV/atom. The space group is C2/m.

---

Entry 4:
Here is Np2MnI8 after structural relaxation from Alexandria via LeMat-Bulk. Energies are from PBE.

The structure in POSCAR format:
```
Np2MnI8
1.0
4.064 0.000 -0.863
-0.015 10.268 -0.071
0.312 0.640 11.465
I Np Mn
8 2 1
Direct
0.372 0.030 0.743
0.248 0.295 0.495
0.400 0.467 0.800
0.600 0.533 0.200
0.752 0.705 0.505
0.999 0.197 0.999
0.628 0.970 0.257
0.001 0.803 0.001
0.853 0.271 0.706
0.147 0.729 0.294
0.500 0.000 0.000
```

## Properties
The density comes out at 5.3 g/cm3. The value obtained for the uncorrected energy is -55.58 eV for the cell shown. The raw formation energy comes out at -0.739 eV per atom. The space group is C2/m.

---

Entry 5:
Here is NpMnI6 after structural relaxation from Alexandria via LeMat-Bulk. Energies are from PBE.

The structure in POSCAR format:
```
NpMnI6
1.0
7.443 0.010 0.009
3.714 6.451 0.014
3.711 2.144 6.761
Np I Mn
1 6 1
Direct
0.000 0.000 0.000
0.744 0.106 0.743
0.256 0.894 0.257
0.593 0.256 0.257
0.106 0.407 0.743
0.407 0.744 0.743
0.894 0.593 0.257
0.500 0.500 0.500
```

## Properties
The density comes out at 5.4 g/cm3. The value obtained for the uncorrected energy is -36.13 eV for the cell shown. The raw formation energy comes out at -0.590 eV per atom. Its offset from the most stable computed form is 0.056 eV/atom. The space group is R-3.

---

Entry 6:
Here is RbNpMnI6 after structural relaxation from Alexandria via LeMat-Bulk. Energies are from PBE.

The structure in POSCAR format:
```
RbNpMnI6
1.0
-2.913 0.104 -7.310
-4.803 -1.112 6.134
-2.266 16.028 1.131
I Mn Rb Np
12 2 2 2
Direct
0.639 0.019 0.356
0.981 0.361 0.144
0.019 0.639 0.856
0.620 0.639 0.644
0.639 0.620 0.144
0.620 0.981 0.856
0.019 0.380 0.644
0.361 0.380 0.856
0.380 0.361 0.356
0.361 0.981 0.644
0.981 0.620 0.356
0.380 0.019 0.144
0.333 0.667 0.750
0.667 0.333 0.250
0.000 0.000 0.000
0.000 0.000 0.500
0.667 0.333 0.750
0.333 0.667 0.250
```

## Properties
The density comes out at 4.3 g/cm3. The value obtained for the uncorrected energy is -79.99 eV for the cell shown. The raw formation energy comes out at -0.846 eV per atom. The space group is P-31c.